1.
TbPr7Y4: optimized geometry, PBE-GGA.

Computed properties:
The value obtained for the energy above the lowest structure with this stoichiometry is 73 meV per atom.

a b c (Å): 8.8401 8.8401 9.5483
angles (deg): 115.52 115.52 39.87
With the nearest neighbours (Å) after each atom.
Fractional positions:
1 Tb 0.0000 0.0000 0.0000  2 Pr 3.01
2 Pr 0.0737 0.0737 0.6966  1 Y 3.35, 3 Pr 3.42-3.74, 1 Tb 3.63
3 Pr 0.1718 0.1718 0.3873  6 Y 3.28-3.65, 1 Tb 3.49
4 Pr 0.2825 0.2825 0.1241  4 Y 3.43-3.71, 5 Pr 3.68-3.74
5 Pr 0.5000 0.5000 0.0000  2 Tb 3.01, 2 Y 3.13
6 Pr 0.7175 0.7175 0.8759  4 Y 3.43-3.71, 5 Pr 3.68-3.74
7 Pr 0.8282 0.8282 0.6127  6 Y 3.28-3.65, 1 Tb 3.49
8 Pr 0.9263 0.9263 0.3034  1 Y 3.35, 3 Pr 3.42-3.74, 1 Tb 3.63
9 Y 0.2917 0.2917 0.7721  4 Pr 3.13-3.43
10 Y 0.4183 0.4183 0.5589  2 Y 3.38-3.54, 5 Pr 3.51-3.79
11 Y 0.5817 0.5817 0.4411  2 Y 3.38-3.54, 5 Pr 3.51-3.79
12 Y 0.7083 0.7083 0.2279  4 Pr 3.13-3.43

=====

2.
Tb5Pr4Y2: optimized geometry, PBE-GGA.

Computed properties:
The value obtained for the energy above the lowest structure with this stoichiometry is 8 meV per atom.

a b c (Å): 6.7348 6.7348 9.2601
angles (deg): 102.62 102.62 67.63
With the nearest neighbours (Å) after each atom.
Fractional positions:
1 Tb 0.0000 0.0000 0.0000  4 Tb 3.24, 2 Pr 3.46
2 Tb 0.2061 0.6476 0.7242  2 Tb 3.24-3.31, 2 Y 3.47-3.51, 4 Pr 3.49-3.59
3 Tb 0.3524 0.7939 0.2758  2 Tb 3.24-3.31, 2 Y 3.47-3.51, 4 Pr 3.49-3.59
4 Tb 0.6476 0.2061 0.7242  2 Tb 3.24-3.31, 2 Y 3.47-3.51, 4 Pr 3.49-3.59
5 Tb 0.7939 0.3524 0.2758  2 Tb 3.24-3.31, 2 Y 3.47-3.51, 4 Pr 3.49-3.59
6 Pr 0.3099 0.3099 0.0035  1 Pr 3.45, 5 Tb 3.46-3.72, 1 Y 3.52
7 Pr 0.3307 0.3307 0.3816  2 Pr 3.45-3.85, 6 Tb 3.49-3.53, 3 Y 3.49-3.76
8 Pr 0.6693 0.6693 0.6184  2 Pr 3.45-3.85, 6 Tb 3.49-3.53, 3 Y 3.49-3.76
9 Pr 0.6901 0.6901 0.9965  1 Pr 3.45, 5 Tb 3.46-3.72, 1 Y 3.52
10 Y 0.1398 0.1398 0.6248  1 Y 3.36, 6 Tb 3.47-3.76, 4 Pr 3.49-3.76
11 Y 0.8602 0.8602 0.3752  1 Y 3.36, 6 Tb 3.47-3.76, 4 Pr 3.49-3.76

=====

3.
Tb3Pr3Y4: optimized geometry, PBE-GGA.

a b c (Å): 3.7088 9.5770 9.5770
angles (deg): 89.70 90.00 90.00
With the nearest neighbours (Å) after each atom.
Fractional positions:
1 Tb 0.0000 0.0000 0.0000  6 Y 3.28-3.42
2 Tb 0.5000 0.3202 0.8275  4 Tb 3.71-3.94, 4 Y 3.72-3.87, 6 Pr 4.00-4.04
3 Tb 0.5000 0.8275 0.3202  4 Tb 3.71-3.94, 4 Y 3.72-3.87, 6 Pr 4.00-4.04
4 Pr 0.0000 0.1502 0.4995  6 Y 3.29-3.45
5 Pr 0.0000 0.4995 0.1502  6 Y 3.29-3.45
6 Pr 0.0000 0.6517 0.6517  6 Y 3.31-3.46
7 Y 0.5000 0.1992 0.1992  2 Tb 3.28, 1 Y 3.41, 4 Pr 3.45
8 Y 0.5000 0.4501 0.4501  6 Pr 3.31-3.45, 1 Y 3.41
9 Y 0.5000 0.7042 0.9521  4 Pr 3.29-3.46, 1 Y 3.35, 2 Tb 3.42
10 Y 0.5000 0.9521 0.7042  4 Pr 3.29-3.46, 1 Y 3.35, 2 Tb 3.42

=====

4.
Tb3PrY: optimized geometry, PBE-GGA.

Computed properties:
The value obtained for the energy above the lowest structure with this stoichiometry is 0 meV per atom.

a b c (Å): 6.3195 5.7531 9.6587
angles (deg): 90.00 109.04 90.00
With the nearest neighbours (Å) after each atom.
Fractional positions:
1 Tb 0.1329 0.2500 0.0990  5 Tb 3.56-3.65, 4 Y 3.56-3.64, 3 Pr 3.57-3.64
2 Tb 0.2667 0.7500 0.7004  3 Pr 3.57-3.66, 3 Y 3.57-3.64, 6 Tb 3.58-3.66
3 Tb 0.3349 0.2500 0.4989  7 Tb 3.55-3.66, 4 Pr 3.57-3.67, 1 Y 3.67
4 Tb 0.6651 0.7500 0.5011  7 Tb 3.55-3.66, 4 Pr 3.57-3.67, 1 Y 3.67
5 Tb 0.7333 0.2500 0.2996  3 Pr 3.57-3.66, 3 Y 3.57-3.64, 6 Tb 3.58-3.66
6 Tb 0.8671 0.7500 0.9010  5 Tb 3.56-3.65, 4 Y 3.56-3.64, 3 Pr 3.57-3.64
7 Pr 0.0668 0.7500 0.2996  10 Tb 3.57-3.67, 2 Y 3.65-3.66
8 Pr 0.9332 0.2500 0.7004  10 Tb 3.57-3.67, 2 Y 3.65-3.66
9 Y 0.4658 0.7500 0.0993  2 Y 3.56, 8 Tb 3.56-3.67, 2 Pr 3.65-3.66
10 Y 0.5342 0.2500 0.9007  2 Y 3.56, 8 Tb 3.56-3.67, 2 Pr 3.65-3.66

=====

5.
Tb2Pr12Y5: optimized geometry, PBE-GGA.

Computed properties:
The value obtained for the energy above the lowest structure with this stoichiometry is 28 meV per atom.

a b c (Å): 10.4567 10.4567 10.1141
angles (deg): 115.24 115.24 42.71
With the nearest neighbours (Å) after each atom.
Fractional positions:
1 Tb 0.1997 0.8003 0.0000  1 Tb 3.04, 2 Pr 3.09
2 Tb 0.8003 0.1997 0.0000  1 Tb 3.04, 2 Pr 3.09
3 Pr 0.0088 0.0088 0.3315  5 Pr 3.37-3.58, 2 Tb 3.61
4 Pr 0.0899 0.5884 0.1530  6 Pr 3.43-3.82, 3 Y 3.69-3.82
5 Pr 0.0967 0.5737 0.5036  5 Pr 3.29-3.66
6 Pr 0.4116 0.9101 0.8470  6 Pr 3.43-3.82, 3 Y 3.69-3.82
7 Pr 0.4263 0.9033 0.4964  5 Pr 3.29-3.66
8 Pr 0.4976 0.4976 0.7926  1 Y 2.98, 2 Tb 3.09
9 Pr 0.5024 0.5024 0.2074  1 Y 2.98, 2 Tb 3.09
10 Pr 0.5737 0.0967 0.5036  5 Pr 3.29-3.66
11 Pr 0.5884 0.0899 0.1530  6 Pr 3.43-3.82, 3 Y 3.69-3.82
12 Pr 0.9033 0.4263 0.4964  5 Pr 3.29-3.66
13 Pr 0.9101 0.4116 0.8470  6 Pr 3.43-3.82, 3 Y 3.69-3.82
14 Pr 0.9912 0.9912 0.6685  5 Pr 3.37-3.58, 2 Tb 3.61
15 Y 0.1794 0.1794 0.1935  2 Tb 3.48, 8 Pr 3.69-3.86, 2 Y 3.81
16 Y 0.3250 0.3250 0.8282  10 Pr 3.54-3.92, 2 Tb 3.80, 2 Y 3.81
17 Y 0.5000 0.5000 0.5000  2 Pr 2.98
18 Y 0.6750 0.6750 0.1718  10 Pr 3.54-3.92, 2 Tb 3.80, 2 Y 3.81
19 Y 0.8206 0.8206 0.8065  2 Tb 3.48, 8 Pr 3.69-3.86, 2 Y 3.81

=====

6.
Tb7Pr4Y: optimized geometry, PBE-GGA.

Computed properties:
The value obtained for the energy above the lowest structure with this stoichiometry is 174 meV per atom.

a b c (Å): 6.7846 6.7846 12.9087
angles (deg): 114.86 114.86 52.39
With the nearest neighbours (Å) after each atom.
Fractional positions:
1 Tb 0.0000 0.0000 0.0000  2 Y 2.99, 2 Tb 3.15
2 Tb 0.2102 0.2102 0.9231  4 Tb 3.15-3.47, 1 Y 3.19, 4 Pr 3.38-3.42
3 Tb 0.2544 0.2544 0.6866  4 Tb 3.30-3.66, 1 Pr 3.69
4 Tb 0.3638 0.3638 0.4958  2 Tb 3.27-3.30, 5 Pr 3.32-3.61
5 Tb 0.6362 0.6362 0.5042  2 Tb 3.27-3.30, 5 Pr 3.32-3.61
6 Tb 0.7456 0.7456 0.3134  4 Tb 3.30-3.66, 1 Pr 3.69
7 Tb 0.7898 0.7898 0.0769  4 Tb 3.15-3.47, 1 Y 3.19, 4 Pr 3.38-3.42
8 Pr 0.0571 0.0571 0.3321  5 Tb 3.32-3.69, 2 Pr 3.67
9 Pr 0.3615 0.3615 0.2221  7 Tb 3.41-3.73, 2 Pr 3.67
10 Pr 0.6385 0.6385 0.7779  7 Tb 3.41-3.73, 2 Pr 3.67
11 Pr 0.9429 0.9429 0.6679  5 Tb 3.32-3.69, 2 Pr 3.67
12 Y 0.5000 0.5000 0.0000  4 Tb 2.99-3.19

=====

7.
Tb3Pr3Y5: optimized geometry, PBE-GGA.

Computed properties:
The value obtained for the energy above the lowest structure with this stoichiometry is 33 meV per atom.

a b c (Å): 9.7262 9.7262 5.4367
angles (deg): 90.00 90.00 120.00
With the nearest neighbours (Å) after each atom.
Fractional positions:
1 Tb 0.0000 0.4678 0.0000  2 Pr 3.16, 2 Y 3.37
2 Tb 0.4678 0.0000 0.0000  2 Pr 3.16, 2 Y 3.37
3 Tb 0.5322 0.5322 0.0000  2 Pr 3.16, 2 Y 3.37
4 Pr 0.0000 0.6332 0.5000  4 Y 3.09-3.19, 2 Tb 3.16
5 Pr 0.3668 0.3668 0.5000  4 Y 3.09-3.19, 2 Tb 3.16
6 Pr 0.6332 0.0000 0.5000  4 Y 3.09-3.19, 2 Tb 3.16
7 Y 0.0000 0.2631 0.5000  2 Pr 3.19, 2 Tb 3.37
8 Y 0.2631 0.0000 0.5000  2 Pr 3.19, 2 Tb 3.37
9 Y 0.3333 0.6667 0.5000  3 Pr 3.09
10 Y 0.6667 0.3333 0.5000  3 Pr 3.09
11 Y 0.7369 0.7369 0.5000  2 Pr 3.19, 2 Tb 3.37

=====

8.
Tb7Pr2Y: optimized geometry, PBE-GGA.

Computed properties:
The value obtained for the energy above the lowest structure with this stoichiometry is 133 meV per atom.

a b c (Å): 14.8873 14.8873 3.5289
angles (deg): 90.00 90.00 154.50
With the nearest neighbours (Å) after each atom.
Fractional positions:
1 Tb 0.0000 0.0000 0.0000  6 Tb 3.29-3.53
2 Tb 0.1566 0.3520 0.0000  7 Tb 3.23-3.53, 1 Pr 3.59
3 Tb 0.3150 0.6849 0.5000  6 Tb 3.48-3.53, 6 Pr 3.60-3.78
4 Tb 0.3520 0.1566 0.0000  7 Tb 3.23-3.53, 1 Pr 3.59
5 Tb 0.6480 0.8434 0.0000  7 Tb 3.23-3.53, 1 Pr 3.59
6 Tb 0.6849 0.3150 0.5000  6 Tb 3.48-3.53, 6 Pr 3.60-3.78
7 Tb 0.8434 0.6480 0.0000  7 Tb 3.23-3.53, 1 Pr 3.59
8 Pr 0.2069 0.7931 0.0000  2 Pr 3.53, 8 Tb 3.59-3.78
9 Pr 0.7931 0.2069 0.0000  2 Pr 3.53, 8 Tb 3.59-3.78
10 Y 0.5000 0.5000 0.5000  2 Y 3.53, 12 Tb 3.71-3.73

=====

Formation enthalpy at 0 K values, unit kJ per mole of atoms, following the record order: 20 10 11 2 15 25 77 15.
Spin magnetization values, unit μB/f.u., following the record order: 0.0 0.0 0.0 0.0 0.0 0.0 0.0 0.0.